Record 1
5
Lattice="5.678 0.000 0.000 0.000 5.678 0.000 0.000 0.000 5.172" Properties=species:S:1:pos:R:3 comment="SrLa2ZrC (PBE, relaxed)" energy_ev_per_fu=-16.9 e_form_mev_per_atom=2476.9 dos_ef_per_ev_fu=8.2 density_g_cm3=4.67 space_group="P4/mmm, No. 123" pbc="T T T"
Sr 0.000 0.000 0.000
La 0.000 2.839 0.000
La 2.839 0.000 0.000
Zr 0.000 0.000 2.586
C 2.839 2.839 2.586


Record 2
19
Lattice="7.639 4.410 4.557 -7.639 4.410 4.557 0.000 -8.820 4.557" Properties=species:S:1:pos:R:3 comment="Ba12Zn6Ga (PBE, relaxed)" energy_ev_per_fu=-34.0 e_form_mev_per_atom=-11.1 dos_ef_per_ev_fu=28.9 density_g_cm3=3.80 space_group="R-3, No. 148" pbc="T T T"
Ba -6.687 -1.706 7.540
Ba -1.866 -6.644 6.131
Ba -3.011 -0.378 5.314
Ba -4.820 4.938 6.131
Ba 1.833 -2.418 5.314
Ba -1.178 -2.796 8.357
Ba 1.178 2.796 5.314
Ba -1.833 2.418 8.357
Ba 4.820 -4.938 7.540
Ba 3.011 0.378 8.357
Ba 1.866 6.644 7.540
Ba 6.687 1.706 6.131
Zn -1.346 -3.511 4.891
Zn -2.367 2.921 4.891
Zn -3.714 -0.590 8.780
Zn 3.714 0.590 4.891
Zn 2.367 -2.921 8.780
Zn 1.346 3.511 8.780
Ga 0.000 0.000 0.000


Record 3
12
Lattice="3.189 -5.523 0.000 3.189 5.523 0.000 -2.126 0.000 6.617" Properties=species:S:1:pos:R:3 comment="Rb3PrNd2O6 (PBE, relaxed)" energy_ev_per_fu=-77.5 dos_ef_per_ev_fu=0.0 density_g_cm3=5.57 raw_formation_energy_ev_per_atom=-2.545 space_group="C2/m, No. 12" pbc="T T T"
Rb 0.000 0.000 0.000
Rb 3.189 1.845 0.000
Rb 3.189 -1.845 0.000
Pr 2.126 0.000 3.308
Nd 2.126 3.682 3.308
Nd 2.126 -3.682 3.308
O 1.056 1.853 2.109
O -0.013 0.000 4.508
O 1.056 -1.853 2.109
O 3.195 1.853 4.508
O 4.265 0.000 2.109
O 3.195 -1.853 4.508